[1]
A geometry-optimized GdZrCoCu structure, computed with PBE.

Cell lengths 4.7098, 4.7098, 4.7098 Å; angles 60.00, 60.00, 60.00 degrees
Closest atoms and distances in Å follow each position.
Element x y z (fractional)
1 Gd 0.0000 0.0000 0.0000  4 Cu 2.88, 4 Co 2.88
2 Cu 0.2500 0.2500 0.2500  4 Zr 2.88, 4 Gd 2.88
3 Zr 0.5000 0.5000 0.5000  4 Co 2.88, 4 Cu 2.88
4 Co 0.7500 0.7500 0.7500  4 Zr 2.88, 4 Gd 2.88

Values from the calculation:
energy	-8.563	eV per atom
V	73.9	Å³ per cell
space-group type	F-43m, No. 216

[2]
A geometry-optimized Sm4ErTl7 structure, computed with PBE.

Cell lengths 5.6764, 10.1053, 7.3809 Å; angles 81.40, 67.39, 73.69 degrees
Closest atoms and distances in Å follow each position.
Element x y z (fractional)
1 Tl 0.9170 0.3203 0.8458  1 Er 3.23, 4 Tl 3.30-3.61, 5 Sm 3.40-3.44
2 Tl 0.7846 0.9001 0.5307  4 Sm 3.15-3.22, 4 Tl 3.38-3.45
3 Tl 0.3691 0.5380 0.7239  2 Tl 3.17-3.30, 5 Sm 3.20-3.32
4 Tl 0.5000 0.0000 0.0000  2 Er 2.84
5 Er 0.0000 0.0000 0.0000  2 Tl 2.84
6 Tl 0.0830 0.6797 0.1542  1 Er 3.23, 4 Tl 3.30-3.61, 5 Sm 3.40-3.44
7 Sm 0.4133 0.7824 0.3910  8 Tl 3.15-3.44
8 Sm 0.5867 0.2176 0.6090  8 Tl 3.15-3.44
9 Tl 0.6309 0.4620 0.2761  2 Tl 3.17-3.30, 5 Sm 3.20-3.32
10 Tl 0.2154 0.0999 0.4693  4 Sm 3.15-3.22, 4 Tl 3.38-3.45
11 Sm 0.7242 0.6712 0.8804  8 Tl 3.18-3.42
12 Sm 0.2758 0.3288 0.1196  8 Tl 3.18-3.42

Values from the calculation:
energy	-3.475	eV per atom
V	374.7	Å³ per cell
space-group type	C2/m, No. 12

[3]
A geometry-optimized Cr2NiAg structure, computed with PBE.

Cell lengths 2.5516, 2.5516, 7.9916 Å; angles 90.00, 90.00, 90.05 degrees
Closest atoms and distances in Å follow each position.
Element x y z (fractional)
1 Cr 0.0000 0.0000 0.0278  4 Ni 2.53, 4 Cr 2.55
2 Cr 0.0000 0.0000 0.4722  4 Ni 2.53, 4 Cr 2.55
3 Ag 0.5000 0.5000 0.7500  4 Ag 2.55
4 Ni 0.5000 0.5000 0.2500  8 Cr 2.53, 4 Ni 2.55

Values from the calculation:
energy	-6.525	eV per atom
excess energy over the best structure of this formula in the dataset	161	meV/atom
V	52.0	Å³ per cell
space-group type	P4/mmm, No. 123

[4]
A geometry-optimized CsLi3Mo structure, computed with PBE.

Cell lengths 5.7006, 5.7006, 5.7006 Å; angles 90.00, 90.00, 90.00 degrees
Closest atoms and distances in Å follow each position.
Element x y z (fractional)
1 Li 0.0000 0.0000 0.5000  2 Mo 2.85
2 Mo 0.0000 0.0000 0.0000  6 Li 2.85
3 Li 0.0000 0.5000 0.0000  2 Mo 2.85
4 Li 0.5000 0.0000 0.0000  2 Mo 2.85
5 Cs 0.5000 0.5000 0.5000  12 Li 4.03

Values from the calculation:
energy	-2.477	eV per atom
excess energy over the best structure of this formula in the dataset	0	meV/atom
V	185.2	Å³ per cell
space-group type	Pm-3m, No. 221

[5]
A geometry-optimized LaSmHgBi structure, computed with PBE.

Cell lengths 5.5357, 5.5357, 5.5357 Å; angles 60.00, 60.00, 60.00 degrees
Closest atoms and distances in Å follow each position.
Element x y z (fractional)
1 Sm 0.5000 0.5000 0.5000  4 Hg 3.39, 4 Bi 3.39
2 La 0.0000 0.0000 0.0000  4 Hg 3.39, 4 Bi 3.39
3 Hg 0.7500 0.7500 0.7500  4 La 3.39, 4 Sm 3.39
4 Bi 0.2500 0.2500 0.2500  4 La 3.39, 4 Sm 3.39

Values from the calculation:
energy	-4.057	eV per atom
V	120.0	Å³ per cell
space-group type	F-43m, No. 216

[6]
A geometry-optimized NaSbPd3 structure, computed with PBE.

Cell lengths 5.0068, 5.0068, 5.0068 Å; angles 90.00, 90.00, 90.00 degrees
Closest atoms and distances in Å follow each position.
Element x y z (fractional)
1 Pd 0.0000 0.0000 0.5000  2 Sb 2.50
2 Na 0.5000 0.5000 0.5000  12 Pd 3.54
3 Pd 0.5000 0.0000 0.0000  2 Sb 2.50
4 Pd 0.0000 0.5000 0.0000  2 Sb 2.50
5 Sb 0.0000 0.0000 0.0000  6 Pd 2.50

Values from the calculation:
energy	-4.145	eV per atom
excess energy over the best structure of this formula in the dataset	300	meV/atom
V	125.5	Å³ per cell
space-group type	Pm-3m, No. 221

[7]
A geometry-optimized Dy4Mg6Pb7 structure, computed with PBE.

Cell lengths 8.4057, 8.4057, 8.4058 Å; angles 109.47, 109.47, 109.47 degrees
Closest atoms and distances in Å follow each position.
Element x y z (fractional)
1 Pb 0.7500 0.5000 0.2500  4 Mg 3.12, 4 Pb 3.43, 4 Dy 3.43
2 Dy 0.0000 0.5000 0.0000  6 Pb 3.43, 6 Mg 3.46
3 Dy 0.5000 0.5000 0.5000  6 Pb 3.43, 6 Mg 3.46
4 Mg 0.7018 0.7018 0.0000  5 Pb 2.89-3.12
5 Pb 0.2500 0.7500 0.5000  4 Mg 3.12, 4 Pb 3.43, 4 Dy 3.43
6 Dy 0.5000 0.0000 0.0000  6 Pb 3.43, 6 Mg 3.46
7 Dy 0.0000 0.0000 0.5000  6 Pb 3.43, 6 Mg 3.46
8 Pb 0.7500 0.2500 0.5000  4 Mg 3.12, 4 Pb 3.43, 4 Dy 3.43
9 Mg 0.2982 0.2982 0.0000  5 Pb 2.89-3.12
10 Mg 0.0000 0.7018 0.7018  5 Pb 2.89-3.12
11 Pb 0.2500 0.5000 0.7500  4 Mg 3.12, 4 Pb 3.43, 4 Dy 3.43
12 Mg 0.7018 0.0000 0.7018  5 Pb 2.89-3.12
13 Pb 0.5000 0.2500 0.7500  4 Mg 3.12, 4 Dy 3.43, 4 Pb 3.43
14 Pb 0.5000 0.7500 0.2500  4 Mg 3.12, 4 Dy 3.43, 4 Pb 3.43
15 Mg 0.2982 0.0000 0.2982  5 Pb 2.89-3.12
16 Mg 0.0000 0.2982 0.2982  5 Pb 2.89-3.12
17 Pb 0.0000 0.0000 0.0000  6 Mg 2.89

Values from the calculation:
energy	-3.348	eV per atom
V	457.2	Å³ per cell
space-group type	Im-3m, No. 229

[8]
A geometry-optimized CoIr2Os structure, computed with PBE.

Cell lengths 4.6515, 4.6515, 4.6261 Å; angles 80.37, 80.37, 33.62 degrees
Closest atoms and distances in Å follow each position.
Element x y z (fractional)
1 Ir 0.9990 0.9990 0.0030  6 Ir 2.65-2.70, 3 Co 2.67-2.68, 3 Os 2.68-2.69
2 Ir 0.5010 0.5010 0.4970  6 Ir 2.65-2.70, 3 Co 2.67-2.68, 3 Os 2.68-2.69
3 Co 0.2500 0.2500 0.2500  6 Ir 2.67-2.68, 4 Os 2.68, 2 Co 2.69
4 Os 0.7500 0.7500 0.7500  4 Co 2.68, 6 Ir 2.68-2.69, 2 Os 2.69

Values from the calculation:
energy	-8.961	eV per atom
excess energy over the best structure of this formula in the dataset	33	meV/atom
V	54.6	Å³ per cell
space-group type	C2/m, No. 12

[9]
A geometry-optimized Ca2ZrCrAu structure, computed with PBE.

Cell lengths 5.7906, 5.0984, 5.7906 Å; angles 90.00, 90.00, 90.00 degrees
Closest atoms and distances in Å follow each position.
Element x y z (fractional)
1 Ca 0.0000 0.0000 0.5000  2 Zr 2.90
2 Zr 0.0000 0.0000 0.0000  2 Au 2.55
3 Cr 0.5000 0.5000 0.5000  8 Ca 3.86, 4 Au 4.09
4 Ca 0.5000 0.0000 0.0000  2 Zr 2.90
5 Au 0.0000 0.5000 0.0000  2 Zr 2.55

Values from the calculation:
energy	-4.036	eV per atom
V	171.0	Å³ per cell
space-group type	P4/mmm, No. 123

[10]
A geometry-optimized DyHo5Tm4 structure, computed with PBE.

Cell lengths 6.2460, 7.7624, 7.7624 Å; angles 80.69, 66.28, 66.28 degrees
Closest atoms and distances in Å follow each position.
Element x y z (fractional)
1 Ho 0.6801 0.0000 0.0000  1 Dy 2.86
2 Dy 0.2222 0.0000 0.0000  1 Ho 2.86
3 Ho 0.7173 0.0896 0.3772  4 Tm 3.18-3.46, 1 Ho 3.23, 1 Dy 3.24
4 Ho 0.0946 0.6228 0.0896  4 Tm 3.18-3.46, 1 Ho 3.23, 1 Dy 3.24
5 Ho 0.1842 0.9104 0.6228  4 Tm 3.18-3.46, 1 Ho 3.23, 1 Dy 3.24
6 Tm 0.7980 0.7026 0.6038  4 Ho 3.18-3.46, 1 Tm 3.23
7 Tm 0.5006 0.6038 0.2974  4 Ho 3.18-3.46, 1 Tm 3.23
8 Ho 0.8070 0.3772 0.9104  4 Tm 3.18-3.46, 1 Ho 3.23, 1 Dy 3.24
9 Tm 0.1044 0.2974 0.3962  4 Ho 3.18-3.46, 1 Tm 3.23
10 Tm 0.4018 0.3962 0.7026  4 Ho 3.18-3.46, 1 Tm 3.23

Values from the calculation:
energy	-4.224	eV per atom
V	315.4	Å³ per cell
space-group type	I4, No. 79

[11]
A geometry-optimized NaPtN2 structure, computed with PBE.

Cell lengths 6.9833, 6.9833, 6.9833 Å; angles 27.49, 27.49, 27.49 degrees
Closest atoms and distances in Å follow each position.
Element x y z (fractional)
1 N 0.9117 0.9117 0.9117  1 Pt 1.78
2 N 0.0883 0.0883 0.0883  1 Pt 1.78
3 Pt 0.0000 0.0000 0.0000  2 N 1.78
4 Na 0.5000 0.5000 0.5000  6 N 2.48

Values from the calculation:
energy	-4.976	eV per atom
excess energy over the best structure of this formula in the dataset	1087	meV/atom
V	64.1	Å³ per cell
space-group type	R-3m, No. 166

[12]
A geometry-optimized BaHf2ScB structure, computed with PBE.

Cell lengths 5.3125, 5.1564, 5.3125 Å; angles 90.00, 90.00, 90.00 degrees
Closest atoms and distances in Å follow each position.
Element x y z (fractional)
1 Ba 0.0000 0.0000 0.0000  2 Sc 2.58, 4 Hf 2.66
2 Hf 0.0000 0.0000 0.5000  2 Ba 2.66
3 B 0.5000 0.5000 0.5000  8 Hf 3.70, 4 Sc 3.76
4 Sc 0.0000 0.5000 0.0000  2 Ba 2.58
5 Hf 0.5000 0.0000 0.0000  2 Ba 2.66

Values from the calculation:
energy	-4.275	eV per atom
V	145.5	Å³ per cell
space-group type	P4/mmm, No. 123